Entry 1:
This record from the Alexandria database describes a geometry-optimized PmCd3Pd7 structure. The functional is PBE.

Unit cell a=5.425 b=7.323 c=7.323 alpha=81.13 beta=120.36 gamma=120.36
Fractional coordinates of all 11 atoms:
Pd: 0.678 0.946 0.419
Pd: 0.322 0.581 0.054
Pd: 0.000 0.500 0.500
Pd: 0.678 0.419 0.946
Pd: 0.322 0.054 0.581
Pd: 0.623 0.794 0.794
Pd: 0.377 0.206 0.206
Cd: 0.000 0.783 0.217
Cd: 0.500 0.000 0.000
Cd: 0.000 0.217 0.783
Pm: 0.500 0.500 0.500

## Properties
* calculated formation energy: -264 meV/atom
* theoretical density: 9.50 g/cm³
* symmetry: C2/m, No. 12



Entry 2:
This record from the Alexandria database describes a geometry-optimized CeYGeAu structure. The functional is PBE.

Unit cell a=5.157 b=5.157 c=5.157 alpha=60.00 beta=60.00 gamma=60.00
Fractional coordinates of all 4 atoms:
Ce: 0.000 0.000 0.000
Ge: 0.250 0.250 0.250
Y: 0.500 0.500 0.500
Au: 0.750 0.750 0.750

## Properties
* calculated formation energy: -675 meV/atom
* theoretical density: 8.54 g/cm³
* symmetry: F-43m, No. 216
* relative energy among the computed polymorphs: 93 meV per atom



Entry 3:
This record from the Alexandria database describes a geometry-optimized NaLaMg2Pd structure. The functional is PBE.

Unit cell a=5.274 b=5.274 c=5.421 alpha=90.00 beta=90.00 gamma=90.00
Fractional coordinates of all 5 atoms:
La: 0.000 0.000 0.500
Pd: 0.000 0.000 0.000
Na: 0.500 0.500 0.500
Mg: 0.500 0.000 0.000
Mg: 0.000 0.500 0.000

## Properties
* calculated formation energy: -238 meV/atom
* theoretical density: 3.49 g/cm³
* symmetry: P4/mmm, No. 123



Entry 4:
This record from the Alexandria database describes a geometry-optimized ScPd3C structure. The functional is PBE.

Unit cell a=4.740 b=4.740 c=4.740 alpha=90.00 beta=90.00 gamma=90.00
Fractional coordinates of all 5 atoms:
Pd: 0.000 0.500 0.000
Pd: 0.500 0.000 0.000
Pd: 0.000 0.000 0.500
C: 0.500 0.500 0.500
Sc: 0.000 0.000 0.000

## Properties
* calculated formation energy: 1749 meV/atom
* theoretical density: 5.86 g/cm³
* symmetry: Pm-3m, No. 221
* relative energy among the computed polymorphs: 1927 meV per atom



no.,energy (eV per atom)
1,-4.25
2,-5.75
3,-3.16
4,-4.48